[1]
EuGdAgBi | Alexandria | GGA-PBE | relaxed; formation enthalpy at 0 K = -1.97 eV per formula unit; size of the total moment = 0.1 μB per cell; SG = No. 216
1.0
0.000 3.864 3.864
3.864 0.000 3.864
3.864 3.864 0.000
Eu Gd Ag Bi
1 1 1 1
Direct
0.000 0.000 0.000
0.500 0.500 0.500
0.250 0.250 0.250
0.750 0.750 0.750

[2]
Lu2HgPd | Alexandria | GGA-PBE | relaxed; formation enthalpy at 0 K = -2.29 eV per formula unit; size of the total moment = 0.0 μB per cell; SG = No. 166
1.0
1.955 1.129 7.566
-1.955 1.129 7.566
0.000 -2.258 7.566
Lu Hg Pd
2 1 1
Direct
0.238 0.238 0.238
0.762 0.762 0.762
0.000 0.000 0.000
0.500 0.500 0.500

[3]
NaLa2Zr2 | Alexandria | GGA-PBE | relaxed; formation enthalpy at 0 K = 1.67 eV per formula unit; size of the total moment = 0.0 μB per cell; SG = No. 127
1.0
9.583 0.000 0.000
0.000 9.583 0.000
0.000 0.000 3.368
Na La Zr
2 4 4
Direct
0.000 0.000 0.000
0.500 0.500 0.000
0.193 0.307 0.500
0.307 0.807 0.500
0.693 0.193 0.500
0.807 0.693 0.500
0.106 0.606 0.000
0.394 0.106 0.000
0.606 0.894 0.000
0.894 0.394 0.000

[4]
SrHg4Pb | Alexandria | GGA-PBE | relaxed; formation enthalpy at 0 K = -1.60 eV per formula unit; size of the total moment = 0.0 μB per cell; SG = No. 10
1.0
5.662 0.000 0.000
0.000 5.230 0.000
-2.780 0.000 5.729
Sr Hg Pb
1 4 1
Direct
0.000 0.000 0.000
0.179 0.500 0.354
0.319 0.000 0.639
0.681 0.000 0.361
0.821 0.500 0.646
0.500 0.500 0.000

[5]
GeAs2P | Alexandria | GGA-PBE | relaxed; formation enthalpy at 0 K = 2.08 eV per formula unit; size of the total moment = 0.0 μB per cell; SG = No. 225
1.0
0.000 3.305 3.305
3.305 0.000 3.305
3.305 3.305 0.000
Ge As P
1 2 1
Direct
0.000 0.000 0.000
0.250 0.250 0.250
0.750 0.750 0.750
0.500 0.500 0.500

[6]
Ce2InCu | Alexandria | GGA-PBE | relaxed; formation enthalpy at 0 K = -0.62 eV per formula unit; size of the total moment = 0.0 μB per cell; SG = No. 123
1.0
4.370 0.000 0.000
0.000 4.370 0.000
0.000 0.000 4.769
Ce In Cu
2 1 1
Direct
0.000 0.500 0.000
0.500 0.000 0.000
0.000 0.000 0.500
0.500 0.500 0.500

N(E_F), record by record: 1.623 0.710 1.169 0.482 0.732 1.923 states/eV per atom
E, record by record: -8.265 -4.208 -5.320 -1.367 -4.312 -4.831 eV/atom